VASP calculation (PBE) on a geometry-optimized NbGaAs2Se structure.

Cell lengths 4.7285, 4.7285, 4.9631 Å; angles 90.00, 90.00, 90.00 degrees
Fractional coordinates of all 5 atoms:
Nb1 0.5000 0.5000 0.5000
As1 0.0000 0.5000 0.0000
As2 0.5000 0.0000 0.0000
Ga1 0.0000 0.0000 0.0000
Se1 0.0000 0.0000 0.5000

Values from the calculation:
The raw formation energy comes out at 0.90 eV/atom.

VASP calculation (PBE) on a geometry-optimized NdGaAs structure.

Cell lengths 4.0716, 4.3312, 8.5239 Å; angles 90.00, 103.82, 90.00 degrees
Fractional coordinates of all 6 atoms:
As1 0.8215 0.8466 0.6430
As2 0.1785 0.3466 0.3570
Ga1 0.0332 0.3475 0.0663
Ga2 0.9668 0.8475 0.9337
Nd1 0.3670 0.3469 0.7340
Nd2 0.6330 0.8469 0.2660

Values from the calculation:
The calculation puts the formation energy from the elements at -253 kJ/mol of formula units.